Below is an optimized crystal structure of TbPmSb2O8, with properties calculated at the GGA-PBE level.

Values from the calculation:
* space-group type: I-4 (82)
* energy relative to the elements, uncorrected: -27.89 eV/f.u.
* Fermi-level density of states: 0.000 states/eV/atom
* uncorrected energy: -7.098 eV/atom
* size of the total moment: 0.00 μB per cell

a b c (Å): 6.8210 6.8210 6.8210
angles (deg): 134.10 134.10 66.94
Atoms (fractional coordinates):
Tb1 0.0000 0.0000 0.0000
Pm1 0.2500 0.7500 0.5000
Sb1 0.5000 0.5000 0.0000
Sb2 0.7500 0.2500 0.5000
O1 0.0138 0.0869 0.4218
O2 0.2318 0.6648 0.0703
O3 0.3352 0.4055 0.5670
O4 0.4080 0.9862 0.0731
O5 0.5945 0.1615 0.9297
O6 0.6651 0.5920 0.5782
O7 0.8385 0.7682 0.4330
O8 0.9131 0.3349 0.9269